A geometry-optimized VHgO2 structure. Source: the Alexandria database, functional PBE+U. Values from VASP.

Cell and atoms, written as Quantum ESPRESSO input:
```
&SYSTEM
  ibrav = 0, nat = 4, ntyp = 3
/
ATOMIC_SPECIES
O 16.00 O.upf
V 50.94 V.upf
Hg 200.59 Hg.upf
ATOMIC_POSITIONS crystal
O 0.9010 0.9010 0.9010
O 0.0990 0.0990 0.0990
V 0.0000 0.0000 0.0000
Hg 0.5000 0.5000 0.5000
CELL_PARAMETERS angstrom
0.0570 6.3123 1.5275
2.8546 5.8010 -0.6168
-0.4070 6.1654 -2.0009
```

* magnetic moment: 2.1 μB per cell
* calculated total energy: -4.89 eV per atom